VASP calculation (GGA-PBE) on an optimized crystal structure of LiGdThGa.

The spin magnetization is 1.878 μB per atom. Its formation energy is -0.8 eV/f.u.

It has space group F-43m (No. 216), with a = 7.3245 Å, b = 7.3245 Å, c = 7.3245 Å, α = 90.00°, β = 90.00° and γ = 90.00°. Symmetry generates all atoms from Li at (0.0000, 0.0000, 0.0000), Gd at (0.2500, 0.2500, 0.2500), Th at (0.2500, 0.2500, 0.7500) and Ga at (0.0000, 0.0000, 0.5000).